CsLiSn2O: single point on PBEsol structure, SCAN.

abc: 3.458 6.053 6.053
angles: 90.00 90.00 90.00
Element x y z (fractional)
O: 0.500 0.000 0.000
Sn: 0.000 0.000 0.500
Sn: 0.000 0.500 0.000
Li: 0.000 0.000 0.000
Cs: 0.500 0.500 0.500

Summary:
Total DFT energy (no corrections) (eV per cell): -118.09

Cs2Li2TiO4: single point on PBEsol structure, SCAN.

abc: 5.771 5.876 9.242
angles: 83.29 73.84 86.34
Element x y z (fractional)
Li: 0.926 0.181 0.441
Li: 0.693 0.587 0.424
Li: 0.074 0.819 0.559
Li: 0.307 0.413 0.576
O: 0.370 0.640 0.394
O: 0.736 0.204 0.907
O: 0.264 0.796 0.093
O: 0.024 0.572 0.713
O: 0.976 0.428 0.287
O: 0.630 0.360 0.606
O: 0.901 0.865 0.401
O: 0.099 0.135 0.599
Ti: 0.860 0.317 0.714
Ti: 0.140 0.683 0.286
Cs: 0.217 0.275 0.985
Cs: 0.532 0.149 0.280
Cs: 0.468 0.851 0.720
Cs: 0.783 0.725 0.015

Summary:
Total DFT energy (no corrections) (eV per cell): -286.79

CsLiP3: single point on PBEsol structure, SCAN.

abc: 4.714 4.714 4.714
angles: 90.00 90.00 90.00
Element x y z (fractional)
Li: 0.000 0.000 0.000
P: 0.500 0.000 0.000
P: 0.000 0.500 0.000
P: 0.000 0.000 0.500
Cs: 0.500 0.500 0.500

Summary:
Formation enthalpy at 0 K (meV/atom): 658

CsLi3Pb: single point on PBEsol structure, SCAN.

abc: 5.222 5.222 5.222
angles: 90.00 90.00 90.00
Element x y z (fractional)
Cs: 0.000 0.000 0.000
Li: 0.000 0.500 0.000
Li: 0.500 0.000 0.000
Li: 0.000 0.000 0.500
Pb: 0.500 0.500 0.500

Summary:
Formation enthalpy at 0 K (meV/atom): 669
Excess energy over the best structure of this formula in the dataset (meV per atom): 946

CsLi3Pb: single point on PBEsol structure, SCAN.

abc: 5.440 5.440 5.440
angles: 90.00 90.00 90.00
Element x y z (fractional)
Li: 0.000 0.500 0.000
Li: 0.500 0.000 0.000
Li: 0.000 0.000 0.500
Cs: 0.500 0.500 0.500
Pb: 0.000 0.000 0.000

Summary:
Formation enthalpy at 0 K (meV/atom): -277
Excess energy over the best structure of this formula in the dataset (meV per atom): 0

Cs2LiPb: single point on PBEsol structure, SCAN.

abc: 6.485 6.485 6.485
angles: 60.00 60.00 60.00
Element x y z (fractional)
Cs: 0.250 0.250 0.250
Cs: 0.750 0.750 0.750
Li: 0.000 0.000 0.000
Pb: 0.500 0.500 0.500

Summary:
Formation enthalpy at 0 K (meV/atom): 107

CsLiTlPb2: single point on PBEsol structure, SCAN.

abc: 5.939 5.939 6.670
angles: 90.00 90.00 90.00
Element x y z (fractional)
Pb: 0.000 0.500 0.000
Pb: 0.500 0.000 0.000
Cs: 0.000 0.000 0.500
Tl: 0.000 0.000 0.000
Li: 0.500 0.500 0.500

Summary:
Formation enthalpy at 0 K (meV/atom): 309

Cs2LiPd: single point on PBEsol structure, SCAN.

abc: 4.892 9.453 9.453
angles: 86.16 75.01 75.01
Element x y z (fractional)
Li: 0.250 0.500 0.500
Li: 0.500 0.000 0.000
Cs: 0.375 0.681 0.819
Cs: 0.806 0.819 0.319
Cs: 0.944 0.181 0.681
Cs: 0.875 0.319 0.181
Pd: 0.750 0.500 0.500
Pd: 0.000 0.000 0.000

Summary:
Formation enthalpy at 0 K (meV/atom): 79

CsLi3Pt: single point on PBEsol structure, SCAN.

abc: 5.052 5.052 5.052
angles: 90.00 90.00 90.00
Element x y z (fractional)
Li: 0.500 0.000 0.000
Li: 0.000 0.500 0.000
Li: 0.000 0.000 0.500
Cs: 0.500 0.500 0.500
Pt: 0.000 0.000 0.000

Summary:
Formation enthalpy at 0 K (meV/atom): -143

Cs2RbLi2: single point on PBEsol structure, SCAN.

abc: 6.106 10.300 10.300
angles: 90.00 90.00 90.00
Element x y z (fractional)
Li: 0.000 0.393 0.893
Li: 0.000 0.107 0.393
Li: 0.000 0.893 0.607
Li: 0.000 0.607 0.107
Cs: 0.500 0.826 0.326
Cs: 0.500 0.174 0.674
Cs: 0.500 0.326 0.174
Cs: 0.500 0.674 0.826
Rb: 0.000 0.000 0.000
Rb: 0.000 0.500 0.500

Summary:
Formation enthalpy at 0 K (meV/atom): 147

CsRb2Li2: single point on PBEsol structure, SCAN.

abc: 6.847 6.847 8.536
angles: 113.64 113.64 90.00
Element x y z (fractional)
Li: 0.750 0.250 0.500
Li: 0.250 0.750 0.500
Rb: 0.354 0.354 0.708
Rb: 0.646 0.646 0.292
Cs: 0.000 0.000 0.000

Summary:
Formation enthalpy at 0 K (meV/atom): 227
Excess energy over the best structure of this formula in the dataset (meV per atom): 59

CsRb2Li2: single point on PBEsol structure, SCAN.

abc: 6.210 6.210 9.269
angles: 109.57 109.57 90.00
Element x y z (fractional)
Rb: 0.250 0.750 0.500
Rb: 0.750 0.250 0.500
Cs: 0.000 0.000 0.000
Li: 0.590 0.590 0.180
Li: 0.410 0.410 0.820

Summary:
Formation enthalpy at 0 K (meV/atom): 169
Excess energy over the best structure of this formula in the dataset (meV per atom): 0